[1]
{"formula": "CoSnB3", "functional": "PBE", "state": "optimized geometry", "polymorph_energy_ev_per_atom": 1.597, "crystal_system": "cubic", "cell": [[-3.524, 2.672, 0.505], [-2.596, -3.552, 0.679], [0.811, 0.243, 4.370]], "species": ["Sn", "B", "B", "B", "Co"], "frac_coords": [[0.000, 0.000, 0.000], [0.500, 0.000, 0.000], [0.000, 0.500, 0.000], [0.000, 0.000, 0.500], [0.500, 0.500, 0.500]]}

---

[2]
{"formula": "CoSn2B", "functional": "PBE", "state": "optimized geometry", "crystal_system": "tetragonal", "dft_energy_ev_per_atom": -4.671, "cell": [[-1.332, -5.450, 2.317], [4.206, -2.543, -3.562], [4.428, -3.405, 2.487]], "species": ["B", "B", "Co", "Co", "Sn", "Sn", "Sn", "Sn"], "frac_coords": [[0.250, 0.750, 0.500], [0.500, 0.500, 0.000], [0.750, 0.250, 0.500], [0.000, 0.000, 0.000], [0.375, 0.408, 0.750], [0.158, 0.625, 0.250], [0.592, 0.125, 0.250], [0.875, 0.842, 0.750]]}

---

[3]
{"formula": "TaCo2SnB", "functional": "PBE", "state": "optimized geometry", "polymorph_energy_ev_per_atom": 0.000, "crystal_system": "tetragonal", "cell": [[3.876, 0.000, 0.000], [0.000, 4.643, 0.000], [0.000, 0.000, 3.876]], "species": ["Co", "Co", "Ta", "Sn", "B"], "frac_coords": [[0.000, 0.000, 0.500], [0.500, 0.000, 0.000], [0.500, 0.500, 0.500], [0.000, 0.500, 0.000], [0.000, 0.000, 0.000]]}

---

[4]
{"formula": "TaCo2SnB", "functional": "PBE", "state": "optimized geometry", "polymorph_energy_ev_per_atom": 1.924, "crystal_system": "tetragonal", "cell": [[4.524, 0.000, 0.000], [0.000, 5.210, 0.000], [0.000, 0.000, 4.524]], "species": ["Ta", "B", "Co", "Co", "Sn"], "frac_coords": [[0.000, 0.500, 0.000], [0.500, 0.500, 0.500], [0.500, 0.000, 0.000], [0.000, 0.000, 0.500], [0.000, 0.000, 0.000]]}

---

[5]
{"formula": "TiCo2SnB", "functional": "PBE", "state": "optimized geometry", "crystal_system": "tetragonal", "dft_energy_ev_per_atom": -6.366, "cell": [[3.873, 0.000, 0.000], [0.000, 4.557, 0.000], [0.000, 0.000, 3.873]], "species": ["Co", "Co", "Sn", "Ti", "B"], "frac_coords": [[0.000, 0.000, 0.500], [0.500, 0.000, 0.000], [0.000, 0.500, 0.000], [0.500, 0.500, 0.500], [0.000, 0.000, 0.000]]}

---

[6]
{"formula": "Zr2CoSnB", "functional": "PBE", "state": "optimized geometry", "crystal_system": "tetragonal", "dft_energy_ev_per_atom": -6.772, "cell": [[4.581, 0.000, 0.000], [0.000, 4.295, 0.000], [0.000, 0.000, 4.581]], "species": ["B", "Co", "Sn", "Zr", "Zr"], "frac_coords": [[0.000, 0.000, 0.000], [0.500, 0.500, 0.500], [0.000, 0.500, 0.000], [0.500, 0.000, 0.000], [0.000, 0.000, 0.500]]}

---

[7]
{"formula": "SrCo4B2", "functional": "PBE", "state": "optimized geometry", "crystal_system": "tetragonal", "dft_energy_ev_per_atom": -4.656, "cell": [[-0.764, -4.305, 0.985], [2.796, 0.302, 3.489], [-3.296, -0.476, 5.560]], "species": ["B", "B", "Co", "Co", "Co", "Co", "Sr"], "frac_coords": [[0.430, 0.430, 0.141], [0.570, 0.570, 0.859], [0.500, 0.000, 0.000], [0.000, 0.500, 0.000], [0.269, 0.269, 0.461], [0.731, 0.731, 0.539], [0.000, 0.000, 0.000]]}

---

[8]
{"formula": "SrCoB2", "functional": "PBE", "state": "optimized geometry", "polymorph_energy_ev_per_atom": 0.000, "crystal_system": "tetragonal", "cell": [[-0.373, -4.415, -1.459], [3.681, -1.175, 2.614], [-1.917, -3.979, 5.074]], "species": ["Co", "Co", "B", "B", "B", "B", "Sr", "Sr"], "frac_coords": [[0.500, 0.500, 0.000], [0.250, 0.750, 0.500], [0.375, 0.625, 0.250], [0.875, 0.625, 0.750], [0.375, 0.625, 0.750], [0.375, 0.125, 0.250], [0.000, 0.000, 0.000], [0.750, 0.250, 0.500]]}